Entry from Alexandria via LeMat-Bulk: an optimized crystal structure of Tm4Ge2Os (PBE-GGA).

Calculated values
E_form   -0.532 eV/atom
Spin magnetization   0.00 μB/atom
Space-group type   P1

Unit cell a=7.484 b=7.472 c=7.468 alpha=109.67 beta=109.73 gamma=108.92
Positions (direct):
Tm  0.015  0.264  0.379
Tm  0.367  0.493  0.254
Tm  0.883  0.638  0.627
Tm  0.736  0.114  0.748
Tm  0.360  0.985  0.242
Tm  0.235  0.113  0.748
Tm  0.515  0.762  0.878
Tm  0.890  0.632  0.126
Ge  0.507  0.372  0.631
Ge  0.743  0.875  0.365
Ge  0.625  0.257  0.132
Ge  0.125  0.491  0.865
Os  0.252  0.751  0.504
Os  0.998  0.002  0.000